LiGa3Fe | PBE-GGA | relaxed

## Properties
- total magnetization (μB per atom) = 0.00
- energy relative to the elements (eV/atom) = -0.13
- D(E_F) (states/eV per atom) = 0.0856

a = 4.559 Å, b = 4.559 Å, c = 4.559 Å
α = 90.00°, β = 90.00°, γ = 90.00°
Space group Pm-3m (No. 221)
Unique sites:
Li1 0.000 0.000 0.000 [1 per cell]
Ga1 0.000 0.500 0.500 [3 per cell]
Fe1 0.500 0.500 0.500 [1 per cell]

LiGa6Fe6 | PBE-GGA | relaxed

## Properties
- total magnetization (μB per atom) = 0.83
- energy relative to the elements (eV/atom) = -0.21
- D(E_F) (states/eV per atom) = 0.4605

a = 4.980 Å, b = 8.392 Å, c = 8.617 Å
α = 90.00°, β = 90.00°, γ = 90.00°
Space group Immm (No. 71)
Unique sites:
Li1 0.000 0.000 0.000 [2 per cell]
Ga1 0.000 0.000 0.335 [4 per cell]
Ga2 0.000 0.300 0.000 [4 per cell]
Ga3 0.000 0.500 0.331 [4 per cell]
Fe1 0.000 0.251 0.500 [4 per cell]
Fe2 0.250 0.250 0.250 [8 per cell]

LiGa2Fe | PBE-GGA | relaxed

## Properties
- total magnetization (μB per atom) = 0.51
- energy relative to the elements (eV/atom) = -0.16
- D(E_F) (states/eV per atom) = 0.5795

a = 4.354 Å, b = 4.354 Å, c = 2.814 Å
α = 90.00°, β = 90.00°, γ = 90.00°
Space group P4/mmm (No. 123)
Unique sites:
Li1 0.000 0.000 0.000 [1 per cell]
Ga1 0.000 0.500 0.500 [2 per cell]
Fe1 0.500 0.500 0.000 [1 per cell]